No. 1
Density functional theory data (GGA-PBE) for a geometry-optimized YBeAu3 structure.

Lattice parameters (Å, degrees): 8.3879 8.3879 8.3879 143.23 143.23 52.98
With the nearest neighbours (Å) after each atom.
Fractional coordinates of all 10 atoms:
Y 0.1715 0.1715 0.0000  2 Be 2.90, 6 Au 3.04-3.19
Y 0.8285 0.8285 0.0000  2 Be 2.90, 6 Au 3.04-3.19
Be 0.5000 0.5000 0.0000  4 Au 2.33
Be 0.7500 0.2500 0.5000  4 Au 2.27
Au 0.0524 0.5524 0.5000  2 Be 2.76, 2 Au 3.03
Au 0.1255 0.3715 0.7540  2 Be 2.27-2.33
Au 0.4476 0.9476 0.5000  2 Be 2.76, 2 Au 3.03
Au 0.6175 0.3715 0.2460  2 Be 2.27-2.33
Au 0.6285 0.3825 0.7540  2 Be 2.27-2.33
Au 0.6285 0.8745 0.2460  2 Be 2.27-2.33

- Fermi-level density of states (states/eV/cell) = 4.01
- energy above the lowest structure with this stoichiometry (eV per atom) = 0.250

No. 2
Density functional theory data (GGA-PBE) for a geometry-optimized CsMnAgSe3 structure.

Lattice parameters (Å, degrees): 7.6509 7.6509 6.9726 90.00 90.00 124.50
With the nearest neighbours (Å) after each atom.
Fractional coordinates of all 12 atoms:
Cs 0.2465 0.7535 0.7500  4 Se 3.50-3.57
Cs 0.7535 0.2465 0.2500  4 Se 3.50-3.57
Mn 0.4450 0.5550 0.2500  5 Se 2.33-2.50
Mn 0.5550 0.4450 0.7500  5 Se 2.33-2.50
Ag 0.0789 0.9211 0.2500  5 Se 2.63-2.81
Ag 0.9211 0.0789 0.7500  5 Se 2.63-2.81
Se 0.2707 0.2707 0.0000  2 Mn 2.50
Se 0.2707 0.2707 0.5000  2 Mn 2.50
Se 0.2731 0.7269 0.2500  1 Mn 2.33
Se 0.7269 0.2731 0.7500  1 Mn 2.33
Se 0.7293 0.7293 0.0000  2 Mn 2.50
Se 0.7293 0.7293 0.5000  2 Mn 2.50

- Fermi-level density of states (states/eV/cell) = 6.84
- raw formation energy (eV per atom) = -0.523

No. 3
Density functional theory data (GGA-PBE) for a geometry-optimized CrTcBr2 structure.

Lattice parameters (Å, degrees): 3.3759 3.3759 7.7868 90.00 90.00 91.08
With the nearest neighbours (Å) after each atom.
Fractional coordinates of all 4 atoms:
Cr 0.0000 0.0000 0.0000  4 Tc 2.63-2.67, 4 Br 2.78-2.81
Tc 0.5000 0.5000 0.8512  1 Br 2.61, 4 Cr 2.63-2.67
Br 0.0000 0.0000 0.6165  1 Cr 2.99, 4 Tc 2.99-3.02
Br 0.5000 0.5000 0.1867  1 Tc 2.61, 4 Cr 2.78-2.81

- Fermi-level density of states (states/eV/cell) = 0.79
- energy above the lowest structure with this stoichiometry (eV per atom) = 0.185
- raw formation energy (eV per atom) = 0.248

No. 4
Density functional theory data (GGA-PBE) for a geometry-optimized RhWC2 structure.

Lattice parameters (Å, degrees): 3.8453 3.8453 3.8453 60.00 60.00 60.00
With the nearest neighbours (Å) after each atom.
Fractional coordinates of all 4 atoms:
Rh 0.0000 0.0000 0.0000  8 C 2.35
W 0.5000 0.5000 0.5000  8 C 2.35
C 0.2500 0.2500 0.2500  4 W 2.35, 4 Rh 2.35
C 0.7500 0.7500 0.7500  4 W 2.35, 4 Rh 2.35

- Fermi-level density of states (states/eV/cell) = 2.16
- energy above the lowest structure with this stoichiometry (eV per atom) = 0.595

No. 5
Density functional theory data (GGA-PBE) for a geometry-optimized Ti2Nb3Rh8 structure.

Lattice parameters (Å, degrees): 9.5001 9.5001 9.5001 31.83 31.83 31.83
With the nearest neighbours (Å) after each atom.
Fractional coordinates of all 13 atoms:
Ti 0.1348 0.1348 0.1348  4 Rh 2.23-2.49
Ti 0.8652 0.8652 0.8652  4 Rh 2.23-2.49
Nb 0.3115 0.3115 0.3115  10 Rh 2.54-2.82
Nb 0.5000 0.5000 0.5000  6 Ti 3.13, 12 Rh 3.21-3.31
Nb 0.6885 0.6885 0.6885  10 Rh 2.54-2.82
Rh 0.2174 0.2174 0.2174  1 Ti 2.23
Rh 0.2294 0.2294 0.7258  1 Ti 2.49, 4 Rh 2.59-2.62, 1 Nb 2.70
Rh 0.2294 0.7258 0.2294  1 Ti 2.49, 4 Rh 2.59-2.62, 1 Nb 2.70
Rh 0.2742 0.7706 0.7706  1 Ti 2.49, 4 Rh 2.59-2.62, 1 Nb 2.70
Rh 0.7258 0.2294 0.2294  1 Ti 2.49, 4 Rh 2.59-2.62, 1 Nb 2.70
Rh 0.7706 0.2742 0.7706  1 Ti 2.49, 4 Rh 2.59-2.62, 1 Nb 2.70
Rh 0.7706 0.7706 0.2742  1 Ti 2.49, 4 Rh 2.59-2.62, 1 Nb 2.70
Rh 0.7826 0.7826 0.7826  1 Ti 2.23

- DFT total energy (Ha/atom) = -0.3044
- Fermi-level density of states (states/eV/cell) = 12.68

No. 6
Density functional theory data (GGA-PBE) for a geometry-optimized AcTbMgCu structure.

Lattice parameters (Å, degrees): 5.3935 5.3935 5.3935 60.00 60.00 60.00
With the nearest neighbours (Å) after each atom.
Fractional coordinates of all 4 atoms:
Ac 0.0000 0.0000 0.0000  4 Mg 3.30, 4 Cu 3.30
Tb 0.5000 0.5000 0.5000  4 Mg 3.30, 4 Cu 3.30
Mg 0.2500 0.2500 0.2500  4 Tb 3.30, 4 Ac 3.30
Cu 0.7500 0.7500 0.7500  4 Ac 3.30, 4 Tb 3.30

- DFT total energy (Ha/atom) = -0.1323
- Fermi-level density of states (states/eV/cell) = 4.09

No. 7
Density functional theory data (GGA-PBE) for a geometry-optimized Dy7Ho12Er structure.

Lattice parameters (Å, degrees): 8.6108 8.6108 8.6108 95.00 95.00 95.00
With the nearest neighbours (Å) after each atom.
Fractional coordinates of all 20 atoms:
Dy 0.0000 0.0000 0.0000  6 Ho 3.04
Dy 0.1469 0.4783 0.4151  2 Ho 3.05-3.32, 1 Er 3.05, 1 Dy 3.06
Dy 0.4151 0.1469 0.4783  2 Ho 3.05-3.32, 1 Er 3.05, 1 Dy 3.06
Dy 0.4783 0.4151 0.1469  2 Ho 3.05-3.32, 1 Er 3.05, 1 Dy 3.06
Dy 0.5217 0.5849 0.8531  2 Ho 3.05-3.32, 1 Er 3.05, 1 Dy 3.06
Dy 0.5849 0.8531 0.5217  2 Ho 3.05-3.32, 1 Er 3.05, 1 Dy 3.06
Dy 0.8531 0.5217 0.5849  2 Ho 3.05-3.32, 1 Er 3.05, 1 Dy 3.06
Ho 0.0189 0.3517 0.0828  2 Dy 3.04-3.05, 2 Ho 3.06-3.32
Ho 0.0828 0.0189 0.3517  2 Dy 3.04-3.05, 2 Ho 3.06-3.32
Ho 0.1868 0.3153 0.7500  3 Dy 3.32-3.54, 3 Ho 3.32-3.53
Ho 0.2500 0.8132 0.6847  3 Dy 3.32-3.54, 3 Ho 3.32-3.53
Ho 0.3153 0.7500 0.1868  3 Dy 3.32-3.54, 3 Ho 3.32-3.53
Ho 0.3517 0.0828 0.0189  2 Dy 3.04-3.05, 2 Ho 3.06-3.32
Ho 0.6483 0.9172 0.9811  2 Dy 3.04-3.05, 2 Ho 3.06-3.32
Ho 0.6847 0.2500 0.8132  3 Dy 3.32-3.54, 3 Ho 3.32-3.53
Ho 0.7500 0.1868 0.3153  3 Dy 3.32-3.54, 3 Ho 3.32-3.53
Ho 0.8132 0.6847 0.2500  3 Dy 3.32-3.54, 3 Ho 3.32-3.53
Ho 0.9172 0.9811 0.6483  2 Dy 3.04-3.05, 2 Ho 3.06-3.32
Ho 0.9811 0.6483 0.9172  2 Dy 3.04-3.05, 2 Ho 3.06-3.32
Er 0.5000 0.5000 0.5000  6 Dy 3.05

- Fermi-level density of states (states/eV/cell) = 17.60
- energy above the lowest structure with this stoichiometry (eV per atom) = 0.000

No. 8
Density functional theory data (GGA-PBE) for a geometry-optimized SiGe2Cl structure.

Lattice parameters (Å, degrees): 4.7303 4.7303 4.7303 60.00 60.00 60.00
With the nearest neighbours (Å) after each atom.
Fractional coordinates of all 4 atoms:
Si 0.0000 0.0000 0.0000  8 Ge 2.90
Ge 0.2500 0.2500 0.2500  4 Cl 2.90, 4 Si 2.90
Ge 0.7500 0.7500 0.7500  4 Cl 2.90, 4 Si 2.90
Cl 0.5000 0.5000 0.5000  8 Ge 2.90

- Fermi-level density of states (states/eV/cell) = 2.22
- energy above the lowest structure with this stoichiometry (eV per atom) = 0.000
- raw formation energy (eV per atom) = 0.322

> What is the formula in the seventh record?

Dy7Ho12Er

Please write out number 2 again, unchanged.
Density functional theory data (GGA-PBE) for a geometry-optimized CsMnAgSe3 structure.

Lattice parameters (Å, degrees): 7.6509 7.6509 6.9726 90.00 90.00 124.50
With the nearest neighbours (Å) after each atom.
Fractional coordinates of all 12 atoms:
Cs 0.2465 0.7535 0.7500  4 Se 3.50-3.57
Cs 0.7535 0.2465 0.2500  4 Se 3.50-3.57
Mn 0.4450 0.5550 0.2500  5 Se 2.33-2.50
Mn 0.5550 0.4450 0.7500  5 Se 2.33-2.50
Ag 0.0789 0.9211 0.2500  5 Se 2.63-2.81
Ag 0.9211 0.0789 0.7500  5 Se 2.63-2.81
Se 0.2707 0.2707 0.0000  2 Mn 2.50
Se 0.2707 0.2707 0.5000  2 Mn 2.50
Se 0.2731 0.7269 0.2500  1 Mn 2.33
Se 0.7269 0.2731 0.7500  1 Mn 2.33
Se 0.7293 0.7293 0.0000  2 Mn 2.50
Se 0.7293 0.7293 0.5000  2 Mn 2.50

- Fermi-level density of states (states/eV/cell) = 6.84
- raw formation energy (eV per atom) = -0.523

Please write out number 4 again, unchanged.
Density functional theory data (GGA-PBE) for a geometry-optimized RhWC2 structure.

Lattice parameters (Å, degrees): 3.8453 3.8453 3.8453 60.00 60.00 60.00
With the nearest neighbours (Å) after each atom.
Fractional coordinates of all 4 atoms:
Rh 0.0000 0.0000 0.0000  8 C 2.35
W 0.5000 0.5000 0.5000  8 C 2.35
C 0.2500 0.2500 0.2500  4 W 2.35, 4 Rh 2.35
C 0.7500 0.7500 0.7500  4 W 2.35, 4 Rh 2.35

- Fermi-level density of states (states/eV/cell) = 2.16
- energy above the lowest structure with this stoichiometry (eV per atom) = 0.595

> What is the Fermi-level density of states in the eighth record?

2.22 states/eV/cell